A plane-wave DFT calculation with PBE was carried out for an optimized crystal structure of Y7Tm12Hf.

The structure belongs to space group R-3 (No. 148, hexagonal axes); the cell edges are 12.6001, 12.6001 and 13.5558 Å and the angles 90.00°, 90.00° and 120.00°. The asymmetric unit holds Y at (0.0000, 0.0000, 0.0000), Y at (0.0666, 0.1994, 0.3555), Tm at (0.0044, 0.5674, 0.7461), Tm at (0.0664, 0.8665, 0.8450) and Hf at (0.0000, 0.0000, 0.5000).

The value obtained for the energy is -5.1216 eV per atom. The calculation puts the formation enthalpy at 0 K at 321.4 meV/atom. For the total magnetic moment, the calculation gives 0.00 μB per formula unit.